Record 1
Material: NbCdRh
Method: DFT, PBE-GGA
State: optimized geometry

E_form, meV per atom: -160
SG: P-3m1, No. 164
Magnetic moment, μB per cell: 0.0
Crystal system: trigonal

Lattice parameters (Å, degrees): 4.626 4.626 5.721 90.00 90.00 120.00
Atoms (fractional coordinates):
Nb (0.333, 0.667, 0.298)
Nb (0.667, 0.333, 0.702)
Cd (0.000, 0.000, 0.000)
Cd (0.000, 0.000, 0.500)
Rh (0.333, 0.667, 0.755)
Rh (0.667, 0.333, 0.245)



Record 2
Material: MnAs4W
Method: DFT, PBE-GGA
State: optimized geometry

E_form, meV per atom: 974
SG: F-43m, No. 216
Magnetic moment, μB per cell: 3.4
Crystal system: cubic

Lattice parameters (Å, degrees): 5.358 5.358 5.358 60.00 60.00 60.00
Atoms (fractional coordinates):
Mn (0.000, 0.000, 0.000)
As (0.375, 0.375, 0.375)
As (0.375, 0.375, 0.874)
As (0.375, 0.874, 0.375)
As (0.874, 0.375, 0.375)
W (0.750, 0.750, 0.750)



Record 3
Material: TiMnV2
Method: DFT, PBE-GGA
State: optimized geometry

Relative energy among the computed polymorphs, meV/atom: 122
E_form, meV per atom: -27
SG: Cmm2, No. 35
Magnetic moment, μB per cell: 0.0
Crystal system: orthorhombic

Lattice parameters (Å, degrees): 2.656 2.656 8.191 90.00 90.00 111.45
Atoms (fractional coordinates):
Ti (0.000, 0.000, 0.000)
Mn (0.500, 0.500, 0.241)
V (0.000, 0.000, 0.468)
V (0.500, 0.500, 0.718)



Record 4
Material: Pr6Nd2Y3
Method: DFT, PBE-GGA
State: optimized geometry

Relative energy among the computed polymorphs, meV/atom: 54
E_form, meV per atom: 333
SG: C2/m, No. 12
Magnetic moment, μB per cell: 0.0
Crystal system: monoclinic

Lattice parameters (Å, degrees): 6.177 6.177 12.321 102.24 102.24 65.56
Atoms (fractional coordinates):
Pr (0.037, 0.521, 0.144)
Pr (0.042, 0.042, 0.352)
Pr (0.479, 0.963, 0.856)
Pr (0.521, 0.037, 0.144)
Pr (0.958, 0.958, 0.648)
Pr (0.963, 0.479, 0.856)
Nd (0.332, 0.332, 0.666)
Nd (0.668, 0.668, 0.334)
Y (0.367, 0.367, 0.399)
Y (0.500, 0.500, 0.000)
Y (0.633, 0.633, 0.601)



Record 5
Material: YSc2Ti
Method: DFT, PBE-GGA
State: optimized geometry

Relative energy among the computed polymorphs, meV/atom: 94
E_form, meV per atom: 231
SG: Fm-3m, No. 225
Magnetic moment, μB per cell: 3.3
Crystal system: cubic

Lattice parameters (Å, degrees): 5.176 5.176 5.176 60.00 60.00 60.00
Atoms (fractional coordinates):
Y (0.000, 0.000, 0.000)
Sc (0.250, 0.250, 0.250)
Sc (0.750, 0.750, 0.750)
Ti (0.500, 0.500, 0.500)



Record 6
Material: TlSbTe2Ir
Method: DFT, PBE-GGA
State: optimized geometry

ΔE_f (raw), eV per atom: 1.74
Relative energy among the computed polymorphs, meV/atom: 1464
SG: P4/mmm, No. 123
Magnetic moment, μB per cell: 1.4
Crystal system: tetragonal

Lattice parameters (Å, degrees): 5.637 5.637 5.556 90.00 90.00 90.00
Atoms (fractional coordinates):
Tl (0.000, 0.000, 0.000)
Sb (0.000, 0.000, 0.500)
Te (0.000, 0.500, 0.000)
Te (0.500, 0.000, 0.000)
Ir (0.500, 0.500, 0.500)



Record 7
Material: Be2HgIr2
Method: DFT, PBE-GGA
State: optimized geometry

Relative energy among the computed polymorphs, meV/atom: 0
E_form, meV per atom: -112
SG: P4/mbm, No. 127
Magnetic moment, μB per cell: 0.0
Crystal system: tetragonal

Lattice parameters (Å, degrees): 6.674 6.674 2.921 90.00 90.00 90.00
Atoms (fractional coordinates):
Be (0.126, 0.374, 0.000)
Be (0.374, 0.874, 0.000)
Be (0.626, 0.126, 0.000)
Be (0.874, 0.626, 0.000)
Hg (0.000, 0.000, 0.000)
Hg (0.500, 0.500, 0.000)
Ir (0.156, 0.656, 0.500)
Ir (0.344, 0.156, 0.500)
Ir (0.656, 0.844, 0.500)
Ir (0.844, 0.344, 0.500)



Record 8
Material: MoAs2W
Method: DFT, PBE-GGA
State: optimized geometry

Relative energy among the computed polymorphs, meV/atom: 207
E_form, meV per atom: 183
SG: Cmm2, No. 35
Magnetic moment, μB per cell: 0.0
Crystal system: orthorhombic

Lattice parameters (Å, degrees): 2.832 2.832 9.554 90.00 90.00 109.11
Atoms (fractional coordinates):
Mo (0.000, 0.000, 0.000)
As (0.000, 0.000, 0.445)
As (0.500, 0.500, 0.788)
W (0.500, 0.500, 0.229)